## K3PuFe2O9 (PBE+U)

Data for a geometry-optimized K3PuFe2O9 structure.

Calculated values
SG: No. 164
Final energy in eV per atom: -6.553

abc: 5.6904 5.6904 7.0422
angles: 90.00 90.00 120.00
Fractional positions:
K 0.0000 0.0000 0.0000
K 0.3333 0.6667 0.6742
K 0.6667 0.3333 0.3258
Pu 0.0000 0.0000 0.5000
Fe 0.3333 0.6667 0.1493
Fe 0.6667 0.3333 0.8507
O 0.0000 0.5000 0.0000
O 0.1664 0.3327 0.3349
O 0.1664 0.8336 0.3349
O 0.3327 0.1664 0.6651
O 0.5000 0.0000 0.0000
O 0.5000 0.5000 0.0000
O 0.6673 0.8336 0.3349
O 0.8336 0.1664 0.6651
O 0.8336 0.6673 0.6651